A plane-wave DFT calculation with PBE was carried out for an optimized crystal structure of TlCoWAu.

The calculation puts the total energy at -22.4 eV per formula unit. For the size of the total moment, the calculation gives 0.0107 μB/atom. The calculation puts the relative energy among the computed polymorphs at 0.000 eV per atom. As for the symmetry: F-43m, No. 216.

Cell: 4.5618 4.5618 4.5618 Å, 60.00 60.00 60.00°
Site moments in Bohr magnetons follow the coordinates.
Atoms (fractional coordinates):
Co 0.7500 0.7500 0.7500  0.17
Au 0.2500 0.2500 0.2500  -0.01
Tl 0.0000 0.0000 0.0000  0.00
W 0.5000 0.5000 0.5000  -0.16